First-principles (GGA+U) data for a relaxed structure of RuPt2WF, as listed in Alexandria via LeMat-Bulk.

Values from the calculation:
Spin magnetization ... 2.0 Bohr magnetons per cell
VASP energy ... -5.10 eV/atom

abc: 4.475 4.002 4.475
angles: 90.00 90.00 90.00
Last column: magnetic moment on the atom in μB.
Sites, in units of the cell vectors:
1 F 0.000 0.000 0.000  0.02
2 W 0.000 0.500 0.000  0.21
3 Ru 0.500 0.500 0.500  1.55
4 Pt 0.000 0.000 0.500  0.07
5 Pt 0.500 0.000 0.000  0.17